Entry 1:
DFT (GGA-PBE) results for a relaxed structure of NaHg6Pb2.

Unit cell a=3.483 b=8.930 c=8.930 alpha=59.98 beta=90.01 gamma=90.01
Positions (direct):
Hg  0.501  0.000  0.329
Hg  0.499  0.000  0.671
Hg  0.500  0.330  0.670
Hg  0.501  0.329  0.000
Hg  0.499  0.671  0.000
Hg  0.500  0.670  0.330
Na  0.000  0.000  0.000
Pb  0.000  0.333  0.333
Pb  0.000  0.667  0.667

Calculated values
size of the total moment = 0.000 μB per atom
E = -1.225 eV per atom
density of states at the Fermi level = 3.09 states/eV/f.u.

Entry 2:
DFT (GGA-PBE) results for a relaxed structure of LiHo2ZrAs4.

Unit cell a=3.981 b=7.036 c=6.817 alpha=109.58 beta=90.00 gamma=90.00
Positions (direct):
As  0.000  0.751  0.236
As  0.000  0.249  0.764
As  0.500  0.244  0.236
As  0.500  0.756  0.764
Ho  0.500  0.000  0.500
Ho  0.000  0.500  0.500
Li  0.500  0.500  0.000
Zr  0.000  0.000  0.000

Calculated values
size of the total moment = 0.000 μB per atom
E = -5.840 eV per atom
density of states at the Fermi level = 3.80 states/eV/f.u.

Entry 3:
DFT (GGA-PBE) results for a relaxed structure of LaPIr2.

Unit cell a=2.993 b=2.993 c=7.710 alpha=90.00 beta=90.00 gamma=90.02
Positions (direct):
P  0.500  0.500  0.750
Ir  0.000  0.000  0.936
Ir  0.000  0.000  0.564
La  0.500  0.500  0.250

Calculated values
size of the total moment = 0.000 μB per atom
E = -7.246 eV per atom
density of states at the Fermi level = 2.17 states/eV/f.u.

Entry 4:
DFT (GGA-PBE) results for a relaxed structure of ErGaAgRu.

Unit cell a=4.663 b=4.663 c=4.663 alpha=60.00 beta=60.00 gamma=60.00
Positions (direct):
Ru  0.750  0.750  0.750
Ga  0.000  0.000  0.000
Er  0.500  0.500  0.500
Ag  0.250  0.250  0.250

Calculated values
size of the total moment = 0.000 μB per atom
E = -5.155 eV per atom
density of states at the Fermi level = 3.15 states/eV/f.u.

Entry 5:
DFT (GGA-PBE) results for a relaxed structure of AcMgCdHg2.

Unit cell a=4.538 b=4.538 c=7.328 alpha=108.04 beta=108.04 gamma=90.00
Positions (direct):
Mg  0.750  0.250  0.500
Hg  0.611  0.611  0.222
Hg  0.389  0.389  0.778
Ac  0.000  0.000  0.000
Cd  0.250  0.750  0.500

Calculated values
size of the total moment = 0.000 μB per atom
E = -1.802 eV per atom
density of states at the Fermi level = 2.27 states/eV/f.u.

Entry 6:
DFT (GGA-PBE) results for a relaxed structure of AcBeAlCu6.

Unit cell a=6.754 b=6.503 c=8.129 alpha=113.58 beta=114.54 gamma=90.00
Positions (direct):
Cu  0.103  0.959  0.818
Cu  0.387  0.137  0.775
Cu  0.613  0.863  0.225
Cu  0.045  0.295  0.090
Cu  0.955  0.705  0.910
Cu  0.284  0.041  0.182
Cu  0.284  0.641  0.182
Cu  0.897  0.641  0.182
Cu  0.103  0.359  0.818
Cu  0.716  0.959  0.818
Cu  0.716  0.359  0.818
Cu  0.897  0.041  0.182
Al  0.000  0.000  0.500
Al  0.500  0.000  0.500
Be  0.500  0.500  0.000
Be  0.500  0.000  0.000
Ac  0.293  0.543  0.585
Ac  0.707  0.457  0.415

Calculated values
size of the total moment = 0.000 μB per atom
E = -4.002 eV per atom
density of states at the Fermi level = 4.06 states/eV/f.u.

Entry 7:
DFT (GGA-PBE) results for a relaxed structure of LiScMo2.

Unit cell a=10.009 b=10.009 c=10.009 alpha=16.32 beta=16.32 gamma=16.32
Positions (direct):
Mo  0.000  0.000  0.000
Mo  0.500  0.500  0.500
Sc  0.250  0.250  0.250
Li  0.750  0.750  0.750

Calculated values
excess energy over the best structure of this formula in the dataset = 0.297 eV/atom
size of the total moment = 0.000 μB per atom
density of states at the Fermi level = 6.29 states/eV/f.u.

Entry 8:
DFT (GGA-PBE) results for a relaxed structure of CrRuAu2.

Unit cell a=7.344 b=7.344 c=5.830 alpha=50.97 beta=50.97 gamma=90.00
Positions (direct):
Cr  0.250  0.750  0.500
Cr  0.500  0.500  0.000
Au  0.375  0.378  0.750
Au  0.622  0.125  0.250
Au  0.128  0.625  0.250
Au  0.875  0.872  0.750
Ru  0.750  0.250  0.500
Ru  0.000  0.000  0.000

Calculated values
excess energy over the best structure of this formula in the dataset = 0.549 eV/atom
size of the total moment = 0.575 μB per atom
density of states at the Fermi level = 4.60 states/eV/f.u.

Entry 9:
DFT (GGA-PBE) results for a relaxed structure of TePt2W.

Unit cell a=5.086 b=5.086 c=4.696 alpha=83.26 beta=83.26 gamma=36.01
Positions (direct):
Pt  0.480  0.480  0.520
Pt  0.020  0.020  0.980
W  0.750  0.750  0.750
Te  0.250  0.250  0.250

Calculated values
size of the total moment = 0.000 μB per atom
density of states at the Fermi level = 3.15 states/eV/f.u.
E_form (uncorrected) = 0.30 eV/atom

Entry 10:
DFT (GGA-PBE) results for a relaxed structure of Y2Te4Mo.

Unit cell a=5.356 b=5.356 c=8.560 alpha=71.77 beta=71.77 gamma=90.00
Positions (direct):
Te  0.817  0.817  0.366
Te  0.183  0.183  0.634
Te  0.500  0.000  0.000
Te  0.000  0.500  0.000
Mo  0.000  0.000  0.000
Y  0.376  0.376  0.248
Y  0.624  0.624  0.752

Calculated values
size of the total moment = 0.416 μB per atom
density of states at the Fermi level = 2.84 states/eV/f.u.
E_form (uncorrected) = -0.43 eV/atom

Entry 11:
DFT (GGA-PBE) results for a relaxed structure of KTe2F.

Unit cell a=5.300 b=5.300 c=5.300 alpha=60.00 beta=60.00 gamma=60.00
Positions (direct):
F  0.000  0.000  0.000
Te  0.250  0.250  0.250
Te  0.750  0.750  0.750
K  0.500  0.500  0.500

Calculated values
excess energy over the best structure of this formula in the dataset = 0.811 eV/atom
size of the total moment = 0.000 μB per atom
density of states at the Fermi level = 3.40 states/eV/f.u.
E_form (uncorrected) = -0.30 eV/atom

Entry 12:
DFT (GGA-PBE) results for a relaxed structure of MnCuPbCl6.

Unit cell a=6.394 b=6.394 c=11.413 alpha=90.00 beta=90.00 gamma=90.00
Positions (direct):
Cl  0.169  0.831  0.499
Cl  0.831  0.169  0.499
Cl  0.806  0.194  0.197
Cl  0.800  0.200  0.806
Cl  0.300  0.300  0.306
Cl  0.694  0.694  0.697
Cl  0.669  0.669  0.999
Cl  0.700  0.700  0.306
Cl  0.331  0.331  0.999
Cl  0.200  0.800  0.806
Cl  0.194  0.806  0.197
Cl  0.306  0.306  0.697
Pb  0.500  0.500  0.495
Pb  0.000  0.000  0.995
Cu  0.000  0.000  0.669
Cu  0.500  0.500  0.169
Mn  0.500  0.500  0.833
Mn  0.000  0.000  0.333

Calculated values
size of the total moment = 0.444 μB per atom
density of states at the Fermi level = 3.14 states/eV/f.u.
E_form (uncorrected) = -0.87 eV/atom

Entry 13:
DFT (GGA-PBE) results for a relaxed structure of Sr2NiAg.

Unit cell a=5.219 b=5.219 c=5.219 alpha=60.00 beta=60.00 gamma=60.00
Positions (direct):
Ni  0.750  0.750  0.750
Sr  0.250  0.250  0.250
Sr  0.000  0.000  0.000
Ag  0.500  0.500  0.500

Calculated values
size of the total moment = 0.000 μB per atom
E = -2.739 eV per atom
density of states at the Fermi level = 4.19 states/eV/f.u.

Entry 14:
DFT (GGA-PBE) results for a relaxed structure of SmIn3Au4.

Unit cell a=4.689 b=4.689 c=9.686 alpha=75.99 beta=75.99 gamma=60.00
Positions (direct):
Au  0.875  0.875  0.375
Au  0.614  0.614  0.159
Au  0.125  0.125  0.625
Au  0.386  0.386  0.841
In  0.250  0.250  0.250
In  0.750  0.750  0.750
In  0.500  0.500  0.500
Sm  0.000  0.000  0.000

Calculated values
size of the total moment = 0.000 μB per atom
E = -3.662 eV per atom
density of states at the Fermi level = 2.33 states/eV/f.u.

Entry 15:
DFT (GGA-PBE) results for a relaxed structure of Tb8SnTe4As3.

Unit cell a=8.542 b=8.660 c=8.542 alpha=119.55 beta=120.00 gamma=90.00
Positions (direct):
Tb  0.261  0.282  0.521
Tb  0.754  0.275  0.021
Tb  0.739  0.718  0.479
Tb  0.246  0.725  0.979
Tb  0.754  0.275  0.509
Tb  0.734  0.725  0.979
Tb  0.246  0.725  0.491
Tb  0.266  0.275  0.021
Te  0.000  0.000  0.500
Te  0.000  0.000  0.000
Te  0.500  0.000  0.500
Te  0.500  0.000  0.000
Sn  0.000  0.500  0.000
As  0.000  0.500  0.500
As  0.500  0.500  0.500
As  0.500  0.500  0.000

Calculated values
size of the total moment = 0.000 μB per atom
density of states at the Fermi level = 5.42 states/eV/f.u.
E_form (uncorrected) = -1.39 eV/atom

Entry 16:
DFT (GGA-PBE) results for a relaxed structure of ReBN.

Unit cell a=2.677 b=2.677 c=11.298 alpha=70.25 beta=70.25 gamma=60.00
Positions (direct):
N  0.237  0.237  0.476
N  0.516  0.516  0.832
B  0.583  0.583  0.462
B  0.170  0.170  0.845
Re  0.308  0.308  0.051
Re  0.446  0.446  0.256

Calculated values
size of the total moment = 0.000 μB per atom
density of states at the Fermi level = 0.45 states/eV/f.u.
E_form (uncorrected) = -0.52 eV/atom

Entry 17:
DFT (GGA-PBE) results for a relaxed structure of Ni2Os.

Unit cell a=5.649 b=5.649 c=5.649 alpha=90.00 beta=90.00 gamma=90.00
Positions (direct):
Ni  0.882  0.382  0.118
Ni  0.618  0.618  0.618
Ni  0.882  0.118  0.618
Ni  0.382  0.118  0.882
Ni  0.618  0.882  0.118
Ni  0.118  0.618  0.882
Ni  0.382  0.382  0.382
Ni  0.118  0.882  0.382
Os  0.500  0.500  0.000
Os  0.000  0.000  0.000
Os  0.000  0.500  0.500
Os  0.500  0.000  0.500

Calculated values
excess energy over the best structure of this formula in the dataset = 1.079 eV/atom
size of the total moment = 0.000 μB per atom
density of states at the Fermi level = 3.90 states/eV/f.u.

Entry 18:
DFT (GGA-PBE) results for a relaxed structure of Mo2PCl.

Unit cell a=4.314 b=4.314 c=4.314 alpha=60.00 beta=60.00 gamma=60.00
Positions (direct):
Mo  0.750  0.750  0.750
Mo  0.250  0.250  0.250
P  0.000  0.000  0.000
Cl  0.500  0.500  0.500

Calculated values
excess energy over the best structure of this formula in the dataset = 0.329 eV/atom
size of the total moment = 0.000 μB per atom
density of states at the Fermi level = 5.13 states/eV/f.u.
E_form (uncorrected) = 0.24 eV/atom

Entry 19:
DFT (GGA-PBE) results for a relaxed structure of EuCoBi2.

Unit cell a=4.226 b=4.226 c=7.270 alpha=73.10 beta=73.10 gamma=60.00
Positions (direct):
Co  0.500  0.500  0.500
Bi  0.776  0.776  0.672
Bi  0.224  0.224  0.328
Eu  0.000  0.000  0.000

Calculated values
size of the total moment = 1.716 μB per atom
E = -6.455 eV per atom
density of states at the Fermi level = 7.19 states/eV/f.u.

Entry 20:
DFT (GGA-PBE) results for a relaxed structure of TeRhBr4.

Unit cell a=6.113 b=6.113 c=6.113 alpha=60.00 beta=60.00 gamma=60.00
Positions (direct):
Rh  0.750  0.750  0.750
Te  0.000  0.000  0.000
Br  0.375  0.874  0.375
Br  0.375  0.375  0.874
Br  0.874  0.375  0.375
Br  0.375  0.375  0.375

Calculated values
size of the total moment = 0.360 μB per atom
density of states at the Fermi level = 10.85 states/eV/f.u.
E_form (uncorrected) = 1.12 eV/atom

Entry 21:
DFT (GGA-PBE) results for a relaxed structure of HfReAs2Se.

Unit cell a=4.672 b=4.672 c=5.282 alpha=90.00 beta=90.00 gamma=90.00
Positions (direct):
Hf  0.500  0.500  0.500
As  0.500  0.000  0.000
As  0.000  0.500  0.000
Re  0.000  0.000  0.000
Se  0.000  0.000  0.500

Calculated values
excess energy over the best structure of this formula in the dataset = 0.000 eV/atom
size of the total moment = 0.003 μB per atom
density of states at the Fermi level = 5.32 states/eV/f.u.
E_form (uncorrected) = 0.69 eV/atom

Entry 22:
DFT (GGA-PBE) results for a relaxed structure of LiCo2Hg.

Unit cell a=4.473 b=4.473 c=4.807 alpha=80.08 beta=80.08 gamma=36.32
Positions (direct):
Li  0.252  0.252  0.249
Co  0.011  0.011  0.963
Co  0.742  0.742  0.810
Hg  0.495  0.495  0.479

Calculated values
size of the total moment = 0.749 μB per atom
E = -3.855 eV per atom
density of states at the Fermi level = 3.98 states/eV/f.u.

Entry 23:
DFT (GGA-PBE) results for a relaxed structure of KTc2Au.

Unit cell a=5.775 b=5.775 c=5.775 alpha=140.91 beta=140.91 gamma=56.47
Positions (direct):
Au  0.250  0.750  0.500
K  0.750  0.250  0.500
Tc  0.500  0.500  0.000
Tc  0.000  0.000  0.000

Calculated values
excess energy over the best structure of this formula in the dataset = 0.880 eV/atom
size of the total moment = 0.106 μB per atom
density of states at the Fermi level = 4.96 states/eV/f.u.

Entry 24:
DFT (GGA-PBE) results for a relaxed structure of CsIrW3.

Unit cell a=4.814 b=4.814 c=4.814 alpha=90.00 beta=90.00 gamma=90.00
Positions (direct):
Ir  0.500  0.500  0.500
W  0.500  0.000  0.000
W  0.000  0.000  0.500
W  0.000  0.500  0.000
Cs  0.000  0.000  0.000

Calculated values
excess energy over the best structure of this formula in the dataset = 1.936 eV/atom
size of the total moment = 0.000 μB per atom
density of states at the Fermi level = 6.93 states/eV/f.u.

Entry 25:
DFT (GGA-PBE) results for a relaxed structure of TlCo2W.

Unit cell a=2.913 b=2.913 c=7.167 alpha=90.00 beta=90.00 gamma=90.01
Positions (direct):
Tl  0.000  0.000  0.477
Co  0.000  0.000  0.022
Co  0.500  0.500  0.199
W  0.500  0.500  0.801

Calculated values
excess energy over the best structure of this formula in the dataset = 0.197 eV/atom
size of the total moment = 0.786 μB per atom
density of states at the Fermi level = 3.82 states/eV/f.u.

Entry 26:
DFT (GGA-PBE) results for a relaxed structure of LiLaTl5.

Unit cell a=4.951 b=4.951 c=7.920 alpha=90.00 beta=90.00 gamma=90.00
Positions (direct):
Tl  0.500  0.000  0.299
Tl  0.500  0.500  0.000
Tl  0.000  0.500  0.299
Tl  0.500  0.000  0.701
Tl  0.000  0.500  0.701
Li  0.000  0.000  0.500
La  0.000  0.000  0.000

Calculated values
size of the total moment = 0.000 μB per atom
E = -2.900 eV per atom
density of states at the Fermi level = 2.02 states/eV/f.u.